# WBr

WBr after structural relaxation (PBE-GGA, Alexandria via LeMat-Bulk).

abc: 3.0812 3.0812 8.9577
angles: 90.00 90.00 120.00
Space group P6_3mc (No. 186)
One atom of each set of equivalent atoms:
W 0.3333 0.6667 0.0000 x2
Br 0.3333 0.6667 0.7158 x2

Results
Energy relative to the elements, uncorrected in eV per atom: 1.087
Relative energy among the computed polymorphs in eV/f.u.: 2.01
Energy in eV per cell: -24.9
D(E_F) in states/eV/atom: 0.726